1.
VASP calculation (PBE-GGA) on crystalline CaRuPt2 at its relaxed geometry.

```
CaRuPt2
1.0
6.5311 0.0000 0.0000
0.0000 6.5311 0.0000
0.0000 0.0000 6.5311
Ca Ru Pt
4 4 8
Direct
0.0000 0.0000 0.0000 Ca
0.0000 0.5000 0.5000 Ca
0.5000 0.0000 0.5000 Ca
0.5000 0.5000 0.0000 Ca
0.2500 0.2500 0.2500 Ru
0.2500 0.7500 0.7500 Ru
0.7500 0.2500 0.7500 Ru
0.7500 0.7500 0.2500 Ru
0.0000 0.0000 0.5000 Pt
0.0000 0.5000 0.0000 Pt
0.2500 0.2500 0.7500 Pt
0.2500 0.7500 0.2500 Pt
0.5000 0.0000 0.0000 Pt
0.5000 0.5000 0.5000 Pt
0.7500 0.2500 0.2500 Pt
0.7500 0.7500 0.7500 Pt
```

## Properties
* space-group type: F-43m
* ΔE to the lowest computed polymorph: 0.266 eV per atom
* E_form: 0.01 eV per atom
* final energy: -5.834 eV/atom

2.
VASP calculation (PBE-GGA) on crystalline MgBPb3 at its relaxed geometry.

```
MgBPb3
1.0
5.1360 0.0000 0.0000
0.0000 5.1360 0.0000
0.0000 0.0000 5.1360
Mg B Pb
1 1 3
Direct
0.0000 0.0000 0.0000 Mg
0.5000 0.5000 0.5000 B
0.0000 0.5000 0.5000 Pb
0.5000 0.0000 0.5000 Pb
0.5000 0.5000 0.0000 Pb
```

## Properties
* space-group type: Pm-3m
* ΔE to the lowest computed polymorph: 0.000 eV per atom
* E_form: 0.62 eV per atom
* final energy: -3.257 eV/atom

3.
VASP calculation (PBE-GGA) on crystalline K4Ac3AgO8 at its relaxed geometry.

```
K4Ac3AgO8
1.0
6.8204 -3.6315 0.0000
6.8204 3.6315 0.0000
-3.7226 0.0000 6.4607
K Ac Ag O
4 3 1 8
Direct
0.0000 0.0000 0.0000 K
0.0000 0.5000 0.0000 K
0.5000 0.0000 0.0000 K
0.5000 0.5000 0.0000 K
0.0000 0.0000 0.5000 Ac
0.0000 0.5000 0.5000 Ac
0.5000 0.0000 0.5000 Ac
0.5000 0.5000 0.5000 Ag
0.2118 0.2118 0.2530 O
0.2131 0.2131 0.6937 O
0.2604 0.6840 0.6669 O
0.3160 0.7396 0.3331 O
0.6840 0.2604 0.6669 O
0.7396 0.3160 0.3331 O
0.7869 0.7869 0.3063 O
0.7882 0.7882 0.7470 O
```

## Properties
* space-group type: C2/m
* raw formation energy: -2.03 eV/atom
* final energy: -5.737 eV/atom

4.
VASP calculation (PBE-GGA) on crystalline K2HgSb at its relaxed geometry.

```
K2HgSb
1.0
8.7524 0.0000 0.0000
0.0000 8.7843 0.0000
0.0000 0.0000 3.7201
K Hg Sb
4 2 2
Direct
0.2500 0.2500 0.0000 K
0.2500 0.7500 0.0000 K
0.7500 0.2500 0.0000 K
0.7500 0.7500 0.0000 K
0.0000 0.0000 0.5000 Hg
0.5000 0.5000 0.5000 Hg
0.0000 0.5000 0.5000 Sb
0.5000 0.0000 0.5000 Sb
```

## Properties
* space-group type: Cmmm
* ΔE to the lowest computed polymorph: 0.063 eV per atom
* raw formation energy: -0.27 eV/atom
* final energy: -1.928 eV/atom

5.
VASP calculation (PBE-GGA) on crystalline Tb9Ga5S21 at its relaxed geometry.

```
Tb9Ga5S21
1.0
8.4130 4.8573 6.1439
-8.4130 4.8573 6.1439
0.0000 -9.7145 6.1439
Tb Ga S
18 10 42
Direct
0.0185 0.8033 0.1783 Tb
0.0199 0.6399 0.7958 Tb
0.1178 0.4978 0.3432 Tb
0.1387 0.3608 0.9856 Tb
0.1783 0.0185 0.8033 Tb
0.3234 0.4737 0.6989 Tb
0.3432 0.1178 0.4978 Tb
0.3608 0.9856 0.1387 Tb
0.4578 0.8331 0.6871 Tb
0.4737 0.6989 0.3234 Tb
0.4978 0.3432 0.1178 Tb
0.6399 0.7958 0.0199 Tb
0.6871 0.4578 0.8331 Tb
0.6989 0.3234 0.4737 Tb
0.7958 0.0199 0.6399 Tb
0.8033 0.1783 0.0185 Tb
0.8331 0.6871 0.4578 Tb
0.9856 0.1387 0.3608 Tb
0.0218 0.3465 0.6874 Ga
0.1825 0.8503 0.5228 Ga
0.2136 0.2136 0.2136 Ga
0.3465 0.6874 0.0218 Ga
0.4103 0.4103 0.4103 Ga
0.5228 0.1825 0.8503 Ga
0.6874 0.0218 0.3465 Ga
0.7122 0.7122 0.7122 Ga
0.8503 0.5228 0.1825 Ga
0.9094 0.9094 0.9094 Ga
0.0119 0.2617 0.1564 S
0.0330 0.5644 0.1230 S
0.0615 0.7273 0.3982 S
0.0876 0.8396 0.9515 S
0.0946 0.5103 0.6077 S
0.1230 0.0330 0.5644 S
0.1564 0.0119 0.2617 S
0.1862 0.2855 0.4194 S
0.1895 0.2732 0.7588 S
0.2187 0.7875 0.7045 S
0.2274 0.5629 0.8968 S
0.2617 0.1564 0.0119 S
0.2732 0.7588 0.1895 S
0.2855 0.4194 0.1862 S
0.3308 0.5789 0.4712 S
0.3684 0.8815 0.4631 S
0.3982 0.0615 0.7273 S
0.4125 0.8554 0.9415 S
0.4194 0.1862 0.2855 S
0.4631 0.3684 0.8815 S
0.4712 0.3308 0.5789 S
0.5103 0.6077 0.0946 S
0.5244 0.6269 0.7747 S
0.5629 0.8968 0.2274 S
0.5644 0.1230 0.0330 S
0.5789 0.4712 0.3308 S
0.6077 0.0946 0.5103 S
0.6269 0.7747 0.5244 S
0.6730 0.9066 0.8063 S
0.7045 0.2187 0.7875 S
0.7273 0.3982 0.0615 S
0.7588 0.1895 0.2732 S
0.7747 0.5244 0.6269 S
0.7875 0.7045 0.2187 S
0.8063 0.6730 0.9066 S
0.8396 0.9515 0.0876 S
0.8554 0.9415 0.4125 S
0.8815 0.4631 0.3684 S
0.8968 0.2274 0.5629 S
0.9066 0.8063 0.6730 S
0.9415 0.4125 0.8554 S
0.9515 0.0876 0.8396 S
```

## Properties
* space-group type: R3
* raw formation energy: -1.56 eV/atom
* final energy: -5.659 eV/atom

6.
VASP calculation (PBE-GGA) on crystalline Bi2Sb2Au3 at its relaxed geometry.

```
Bi2Sb2Au3
1.0
13.7914 0.0000 0.0000
0.0000 4.4316 0.0000
-0.1499 0.0000 6.1839
Bi Sb Au
4 4 6
Direct
0.1924 0.0000 0.2580 Bi
0.3076 0.5000 0.7420 Bi
0.6924 0.5000 0.2580 Bi
0.8076 0.0000 0.7420 Bi
0.0447 0.5000 0.7222 Sb
0.4553 0.0000 0.2778 Sb
0.5447 0.0000 0.7222 Sb
0.9553 0.5000 0.2778 Sb
0.0000 0.0000 0.0000 Au
0.1756 0.0000 0.7386 Au
0.3244 0.5000 0.2614 Au
0.5000 0.5000 0.0000 Au
0.6756 0.5000 0.7386 Au
0.8244 0.0000 0.2614 Au
```

## Properties
* space-group type: C2/m
* raw formation energy: -0.03 eV/atom
* final energy: -3.724 eV/atom

7.
VASP calculation (PBE-GGA) on crystalline Ba2AcPuS6 at its relaxed geometry.

```
Ba2AcPuS6
1.0
7.3594 0.0000 0.0000
0.0000 7.7308 0.0000
-7.2627 0.0000 10.5988
Ba Ac Pu S
4 2 2 12
Direct
0.2288 0.0669 0.2502 Ba
0.2288 0.4331 0.7502 Ba
0.7712 0.5669 0.2498 Ba
0.7712 0.9331 0.7498 Ba
0.5000 0.0000 0.0000 Ac
0.5000 0.5000 0.5000 Ac
0.0000 0.0000 0.5000 Pu
0.0000 0.5000 0.0000 Pu
0.1244 0.2160 0.9416 S
0.1244 0.2840 0.4416 S
0.2325 0.6875 0.9472 S
0.2325 0.8125 0.4472 S
0.3377 0.0355 0.7339 S
0.3377 0.4645 0.2339 S
0.6623 0.5355 0.7661 S
0.6623 0.9645 0.2661 S
0.7675 0.1875 0.5528 S
0.7675 0.3125 0.0528 S
0.8756 0.7160 0.5584 S
0.8756 0.7840 0.0584 S
```

## Properties
* space-group type: P2_1/c
* raw formation energy: -1.76 eV/atom
* final energy: -6.469 eV/atom

8.
VASP calculation (PBE-GGA) on crystalline Mg2AlOs at its relaxed geometry.

```
Mg2AlOs
1.0
3.1439 0.0000 0.0000
0.0000 4.8253 0.0000
0.0000 0.0000 9.1862
Mg Al Os
4 2 2
Direct
0.0000 0.0000 0.0000 Mg
0.0000 0.5000 0.2906 Mg
0.5000 0.0000 0.2906 Mg
0.5000 0.5000 0.0000 Mg
0.0000 0.5000 0.7348 Al
0.5000 0.0000 0.7348 Al
0.0000 0.0000 0.5265 Os
0.5000 0.5000 0.5265 Os
```

## Properties
* space-group type: Cmm2
* E_form: 0.13 eV per atom
* final energy: -4.414 eV/atom

9.
VASP calculation (PBE-GGA) on crystalline ZnMo2As at its relaxed geometry.

```
ZnMo2As
1.0
3.2448 0.0000 0.0000
0.0000 4.5651 0.0000
0.0000 0.0000 8.4212
Zn Mo As
2 4 2
Direct
0.0000 0.0000 0.0000 Zn
0.5000 0.5000 0.5000 Zn
0.0000 0.5000 0.2349 Mo
0.0000 0.5000 0.7651 Mo
0.5000 0.0000 0.2651 Mo
0.5000 0.0000 0.7349 Mo
0.0000 0.0000 0.5000 As
0.5000 0.5000 0.0000 As
```

## Properties
* space-group type: Immm
* ΔE to the lowest computed polymorph: 0.157 eV per atom
* E_form: 0.19 eV per atom
* final energy: -6.711 eV/atom

10.
VASP calculation (PBE-GGA) on crystalline Y3InCu8 at its relaxed geometry.

```
Y3InCu8
1.0
2.6019 1.5022 8.5373
-2.6019 1.5022 8.5373
0.0000 -3.0044 8.5373
Y In Cu
3 1 8
Direct
0.0000 0.0000 0.0000 Y
0.1250 0.1250 0.1250 Y
0.6173 0.6173 0.6173 Y
0.4932 0.4932 0.4932 In
0.0572 0.0572 0.5650 Cu
0.0572 0.5650 0.0572 Cu
0.0590 0.5594 0.5594 Cu
0.3091 0.3091 0.3091 Cu
0.5594 0.0590 0.5594 Cu
0.5594 0.5594 0.0590 Cu
0.5650 0.0572 0.0572 Cu
0.8101 0.8101 0.8101 Cu
```

## Properties
* space-group type: R3m
* E_form: -0.21 eV per atom
* final energy: -4.780 eV/atom

11.
VASP calculation (PBE-GGA) on crystalline Sr2TbIn3 at its relaxed geometry.

```
Sr2TbIn3
1.0
2.8007 -8.4029 0.0000
2.8007 8.4029 0.0000
0.0000 0.0000 7.9611
Sr Tb In
4 2 6
Direct
0.0000 0.0000 0.0000 Sr
0.0000 0.0000 0.5000 Sr
0.3365 0.6635 0.0000 Sr
0.6635 0.3365 0.0000 Sr
0.3363 0.6637 0.5000 Tb
0.6637 0.3363 0.5000 Tb
0.1735 0.8265 0.2713 In
0.1735 0.8265 0.7287 In
0.5000 0.5000 0.2679 In
0.5000 0.5000 0.7321 In
0.8265 0.1735 0.2713 In
0.8265 0.1735 0.7287 In
```

## Properties
* space-group type: Cmmm
* E_form: -0.43 eV per atom
* final energy: -3.128 eV/atom

12.
VASP calculation (PBE-GGA) on crystalline SmY2TmTe5 at its relaxed geometry.

```
SmY2TmTe5
1.0
5.4909 0.0000 0.0000
0.0000 5.4909 0.0000
0.0000 0.0000 11.6583
Sm Y Tm Te
1 2 1 5
Direct
0.0000 0.0000 0.0000 Sm
0.5000 0.5000 0.3503 Y
0.5000 0.5000 0.6497 Y
0.0000 0.0000 0.5000 Tm
0.0000 0.0000 0.2498 Te
0.0000 0.0000 0.7502 Te
0.0000 0.5000 0.5000 Te
0.5000 0.0000 0.5000 Te
0.5000 0.5000 0.0000 Te
```

## Properties
* space-group type: P4/mmm
* raw formation energy: -0.71 eV/atom
* final energy: -4.917 eV/atom

Calculated volume list, top to bottom, in Å³/atom: 17.4, 27.1, 20.0, 35.8, 21.5, 27.0, 30.2, 17.4, 15.6, 16.7, 31.2, 39.1